1.
DFT (GGA-PBE) results for an optimized crystal structure of CeZnFe2H8.

Values from the calculation:
DOS(E_F) (states/eV/atom): 0.67
Spin magnetization (μB/atom): 0.05
Energy (eV per cell): -49.03

```
data_CeZnFe2H8
_cell_length_a 4.5228
_cell_length_b 4.5228
_cell_length_c 6.3732
_cell_angle_alpha 90.00
_cell_angle_beta 90.00
_cell_angle_gamma 120.00
_space_group_name_H-M_alt 'P -3 m 1'
_space_group_IT_number 164
_space_group_name_Hall '-P 3 2"'
loop_
_atom_site_label
_atom_site_type_symbol
_atom_site_fract_x
_atom_site_fract_y
_atom_site_fract_z
_atom_site_occupancy
Ce1 Ce 0.0000 0.0000 0.0000 1
Zn1 Zn 0.0000 0.0000 0.5000 1
Fe1 Fe 0.3333 0.6667 0.3435 1
H1 H 0.1469 0.2937 0.2897 1
H2 H 0.3333 0.6667 0.0969 1
```



2.
DFT (GGA-PBE) results for an optimized crystal structure of CeZnFeH6.

Values from the calculation:
DOS(E_F) (states/eV/atom): 0.65
Spin magnetization (μB/atom): 0.09
Energy (eV per cell): -38.03

```
data_CeZnFeH6
_cell_length_a 4.4386
_cell_length_b 4.4386
_cell_length_c 4.3425
_cell_angle_alpha 90.00
_cell_angle_beta 90.00
_cell_angle_gamma 120.00
_space_group_name_H-M_alt 'P -6 m 2'
_space_group_IT_number 187
_space_group_name_Hall 'P -6 2'
loop_
_atom_site_label
_atom_site_type_symbol
_atom_site_fract_x
_atom_site_fract_y
_atom_site_fract_z
_atom_site_occupancy
Ce1 Ce 0.0000 0.0000 0.0000 1
Zn1 Zn 0.3333 0.6667 0.5000 1
Fe1 Fe 0.6667 0.3333 0.5000 1
H1 H 0.5182 0.0364 0.2376 1
```



3.
DFT (GGA-PBE) results for an optimized crystal structure of CeHf2Fe9.

Values from the calculation:
DOS(E_F) (states/eV/atom): 0.91
ΔE_f (eV/atom): -0.20
Spin magnetization (μB/atom): 1.35
Energy (eV per cell): -313.22

```
data_CeHf2Fe9
_cell_length_a 4.9616
_cell_length_b 4.9616
_cell_length_c 24.0879
_cell_angle_alpha 90.00
_cell_angle_beta 90.00
_cell_angle_gamma 120.00
_space_group_name_H-M_alt 'R -3 m'
_space_group_IT_number 166
_space_group_name_Hall '-R 3 2"'
loop_
_atom_site_label
_atom_site_type_symbol
_atom_site_fract_x
_atom_site_fract_y
_atom_site_fract_z
_atom_site_occupancy
Ce1 Ce 0.0000 0.0000 0.0000 1
Hf1 Hf 0.0000 0.0000 0.1430 1
Fe1 Fe 0.0000 0.0000 0.3329 1
Fe2 Fe 0.0000 0.0000 0.5000 1
Fe3 Fe 0.0031 0.5016 0.9142 1
```



4.
DFT (GGA-PBE) results for an optimized crystal structure of Ce2HfFe.

Values from the calculation:
DOS(E_F) (states/eV/atom): 2.07
ΔE_f (eV/atom): 0.40
Spin magnetization (μB/atom): 0.21
Energy (eV per cell): -86.05

```
data_Ce2HfFe
_cell_length_a 3.0718
_cell_length_b 3.0718
_cell_length_c 31.3192
_cell_angle_alpha 90.00
_cell_angle_beta 90.00
_cell_angle_gamma 120.00
_space_group_name_H-M_alt 'R -3 m'
_space_group_IT_number 166
_space_group_name_Hall '-R 3 2"'
loop_
_atom_site_label
_atom_site_type_symbol
_atom_site_fract_x
_atom_site_fract_y
_atom_site_fract_z
_atom_site_occupancy
Ce1 Ce 0.0000 0.0000 0.0961 1
Hf1 Hf 0.0000 0.0000 0.0000 1
Fe1 Fe 0.0000 0.0000 0.5000 1
```